Compound: Tb3Dy2Tm4
Source: Alexandria
Functional: PBE-GGA
Structure: optimized geometry

Structure (extended XYZ):
```
9
Lattice="5.663 -2.803 0.000 5.663 2.803 0.000 -2.121 0.000 8.878" Properties=species:S:1:pos:R:3 pbc="T T T"
Tb 0.000 0.000 0.000
Tb -0.216 0.000 6.100
Tb 9.422 0.000 2.778
Dy 3.343 0.000 6.360
Dy 5.863 0.000 2.519
Tm 1.858 0.000 3.297
Tm 3.532 0.000 0.351
Tm 5.674 0.000 8.527
Tm 7.348 0.000 5.581
```

The space group is C2/m. Its formation enthalpy at 0 K is 0.11 eV per atom.

Compound: CsPtN
Source: Alexandria
Functional: PBE-GGA
Structure: optimized geometry

Structure (extended XYZ):
```
6
Lattice="4.912 0.000 0.000 -0.526 6.002 0.000 -0.671 -1.566 6.055" Properties=species:S:1:pos:R:3 pbc="T T T"
Cs -0.268 1.188 1.449
Cs 3.983 3.248 4.606
Pt 1.632 0.675 5.052
Pt 2.083 3.761 1.004
N 1.955 -0.466 3.490
N 1.760 4.902 2.565
```

The raw formation energy comes out at -0.12 eV per atom. The space group is P-1.

Compound: Ca3Zn2Cd9
Source: Alexandria
Functional: PBE-GGA
Structure: optimized geometry

Structure (extended XYZ):
```
14
Lattice="-2.356 5.497 6.479 2.356 -5.497 6.479 2.356 5.497 -6.479" Properties=species:S:1:pos:R:3 pbc="T T T"
Ca 0.000 0.000 0.000
Ca 0.000 0.000 3.861
Ca 0.000 0.000 9.098
Zn 2.356 3.614 0.000
Zn 0.000 1.883 6.479
Cd 2.356 -1.444 1.874
Cd 2.356 -2.415 4.743
Cd 2.356 1.444 1.874
Cd 0.000 3.082 1.736
Cd 0.000 5.497 0.000
Cd 2.356 2.415 4.743
Cd 0.000 4.053 4.605
Cd 0.000 7.912 1.736
Cd 0.000 6.941 4.605
```

The space group is Immm. Its formation enthalpy at 0 K is -0.22 eV per atom.

Compound: ZrPdN2Cl
Source: Alexandria
Functional: PBE-GGA
Structure: optimized geometry

Structure (extended XYZ):
```
5
Lattice="3.827 0.000 0.000 0.000 3.827 0.000 0.000 0.000 5.612" Properties=species:S:1:pos:R:3 pbc="T T T"
Zr 0.000 0.000 0.000
Pd 0.000 0.000 2.806
N 0.000 1.913 2.806
N 1.913 0.000 2.806
Cl 1.913 1.913 0.000
```

The raw formation energy comes out at 0.98 eV per atom. The space group is P4/mmm.

Compound: Li9Mg4Au11
Source: Alexandria
Functional: PBE-GGA
Structure: optimized geometry

Structure (extended XYZ):
```
24
Lattice="6.774 -9.852 0.000 6.774 9.852 0.000 0.000 0.000 3.001" Properties=species:S:1:pos:R:3 pbc="T T T"
Li 0.000 0.000 0.000
Li 5.238 5.361 0.000
Li 5.338 1.841 0.000
Li 8.310 5.361 0.000
Li 5.338 -1.841 0.000
Li 8.210 1.841 0.000
Li 5.238 -5.361 0.000
Li 8.210 -1.841 0.000
Li 8.310 -5.361 0.000
Mg 2.308 1.729 0.000
Mg 2.308 -1.729 0.000
Mg 11.240 1.729 0.000
Mg 11.240 -1.729 0.000
Au 3.768 3.529 1.500
Au 6.774 7.458 1.500
Au 3.881 0.000 1.500
Au 6.774 3.677 1.500
Au 3.768 -3.529 1.500
Au 6.774 0.000 1.500
Au 9.780 3.529 1.500
Au 6.774 -3.677 1.500
Au 9.667 0.000 1.500
Au 6.774 -7.458 1.500
Au 9.780 -3.529 1.500
```

The space group is Cmmm. Its formation enthalpy at 0 K is -0.52 eV per atom.

Compound: Y2TcIr
Source: Alexandria
Functional: PBE-GGA
Structure: optimized geometry

Structure (extended XYZ):
```
4
Lattice="3.429 0.000 0.000 0.000 3.429 0.000 0.000 0.000 6.940" Properties=species:S:1:pos:R:3 pbc="T T T"
Y 0.000 0.000 1.729
Y 0.000 0.000 5.211
Tc 1.715 1.715 3.470
Ir 1.715 1.715 0.000
```

The space group is P4/mmm. Its formation enthalpy at 0 K is -0.25 eV per atom.

Compound: Pm6Al2Cd
Source: Alexandria
Functional: PBE-GGA
Structure: optimized geometry

Structure (extended XYZ):
```
9
Lattice="8.151 -3.717 0.000 8.151 3.717 0.000 -1.600 0.000 4.892" Properties=species:S:1:pos:R:3 pbc="T T T"
Pm 4.868 1.882 1.619
Pm 8.151 1.922 0.000
Pm 9.833 1.882 3.273
Pm 4.868 -1.882 1.619
Pm 8.151 -1.922 0.000
Pm 9.833 -1.882 3.273
Al 2.463 0.000 0.820
Al 12.238 0.000 4.073
Cd 7.351 0.000 2.446
```

The space group is C2/m. Its formation enthalpy at 0 K is 0.01 eV per atom.

Compound: Re2TcCl
Source: Alexandria
Functional: PBE-GGA
Structure: optimized geometry

Structure (extended XYZ):
```
4
Lattice="2.857 0.000 0.000 0.000 4.104 0.000 -1.376 0.000 5.104" Properties=species:S:1:pos:R:3 pbc="T T T"
Re 0.092 0.000 1.264
Re 1.390 0.000 3.840
Tc 1.429 2.052 0.000
Cl 0.741 2.052 2.552
```

The raw formation energy comes out at 0.73 eV per atom. The space group is P2/m.

Compound: Sm2TlHg2
Source: Alexandria
Functional: PBE-GGA
Structure: optimized geometry

Structure (extended XYZ):
```
5
Lattice="4.647 -2.623 0.000 4.647 2.623 0.000 -1.568 0.000 6.028" Properties=species:S:1:pos:R:3 pbc="T T T"
Sm 1.555 0.000 1.447
Sm 6.171 0.000 4.582
Tl 4.647 0.000 0.000
Hg -0.019 0.000 4.279
Hg 7.745 0.000 1.749
```

The space group is C2/m. Its formation enthalpy at 0 K is -0.32 eV per atom.

Compound: Mn2ZnGa
Source: Alexandria
Functional: PBE-GGA
Structure: optimized geometry

Structure (extended XYZ):
```
4
Lattice="3.130 0.000 0.000 0.000 3.130 0.000 0.000 0.000 5.553" Properties=species:S:1:pos:R:3 pbc="T T T"
Mn 0.000 0.000 1.378
Mn 0.000 0.000 4.175
Zn 1.565 1.565 2.777
Ga 1.565 1.565 0.000
```

The space group is P4/mmm. Its formation enthalpy at 0 K is 0.00 eV per atom.

Compound: La5PrNdY2
Source: Alexandria
Functional: PBE-GGA
Structure: optimized geometry

Structure (extended XYZ):
```
18
Lattice="8.152 0.000 0.000 0.000 8.152 0.000 0.000 0.000 10.018" Properties=species:S:1:pos:R:3 pbc="T T T"
La 0.000 0.000 0.000
La 1.652 2.424 2.637
La 1.652 2.424 7.380
La 2.424 6.500 2.637
La 2.424 6.500 7.380
La 4.076 4.076 0.000
La 5.728 1.652 2.637
La 5.728 1.652 7.380
La 6.500 5.728 2.637
La 6.500 5.728 7.380
Pr 0.000 0.000 5.009
Pr 4.076 4.076 5.009
Nd 0.000 4.076 5.009
Nd 4.076 0.000 5.009
Y 1.052 5.128 0.000
Y 3.023 1.052 0.000
Y 5.128 7.099 0.000
Y 7.099 3.023 0.000
```

The space group is P4/mbm. Its formation enthalpy at 0 K is 0.27 eV per atom.

Compound: Ga2MoH
Source: Alexandria
Functional: PBE-GGA
Structure: optimized geometry

Structure (extended XYZ):
```
4
Lattice="1.439 0.831 7.826 -1.439 0.831 7.826 0.000 -1.661 7.826" Properties=species:S:1:pos:R:3 pbc="T T T"
Ga 0.000 0.000 1.772
Ga 0.000 0.000 21.706
Mo 0.000 0.000 11.739
H 0.000 0.000 0.000
```

The total energy comes out at -4.95 eV/atom. The space group is R-3m.

What did the eighth record say?
Compound: Re2TcCl
Source: Alexandria
Functional: PBE-GGA
Structure: optimized geometry

Structure (extended XYZ):
```
4
Lattice="2.857 0.000 0.000 0.000 4.104 0.000 -1.376 0.000 5.104" Properties=species:S:1:pos:R:3 pbc="T T T"
Re 0.092 0.000 1.264
Re 1.390 0.000 3.840
Tc 1.429 2.052 0.000
Cl 0.741 2.052 2.552
```

The raw formation energy comes out at 0.73 eV per atom. The space group is P2/m.